VASP calculation (PBE) on an optimized crystal structure of Sr8PN4.

```
data_Sr8PN4
_cell_length_a 11.3452
_cell_length_b 11.3452
_cell_length_c 11.3452
_cell_angle_alpha 90.00
_cell_angle_beta 90.00
_cell_angle_gamma 90.00
_space_group_name_H-M_alt 'F -4 3 m'
_space_group_IT_number 216
_space_group_name_Hall 'F -4 2 3'
loop_
_atom_site_label
_atom_site_fract_x
_atom_site_fract_y
_atom_site_fract_z
Sr1 0.1062 0.1062 0.3938
Sr2 0.1416 0.1416 0.8584
P1 0.2500 0.2500 0.2500
N1 0.1283 0.1283 0.6283
```

## Properties
As for the electronic total energy: -4.600 eV/atom. As for the formation energy without anion corrections: -0.59 eV/atom.